[1]
VASP calculation (PBE) on an optimized crystal structure of PuTaPt.

The structure in POSCAR format:
```
PuTaPt
1.0
2.407 -3.844 -0.136
-1.792 -3.735 -1.852
1.578 -1.549 -3.962
Pt Pu Ta
1 1 1
direct
0.000 0.000 0.000
0.250 0.250 0.250
0.750 0.750 0.750
```

Output
VASP energy (eV per atom): -10.545
Total magnetic moment (μB/atom): 1.7752
Theoretical density (g/cm³): 15.6
V (A^3/atom): 22.021

---

[2]
VASP calculation (PBE) on an optimized crystal structure of TbPuPt.

The structure in POSCAR format:
```
TbPuPt
1.0
0.000 3.459 3.459
3.459 0.000 3.459
3.459 3.459 0.000
Pt Pu Tb
1 1 1
direct
0.000 0.000 0.000
0.250 0.250 0.250
0.750 0.750 0.750
```

Output
VASP energy (eV per atom): -8.923
Total magnetic moment (μB/atom): 2.0851
Theoretical density (g/cm³): 12.0
V (A^3/atom): 27.589

---

[3]
VASP calculation (PBE) on an optimized crystal structure of PuThPt.

The structure in POSCAR format:
```
PuThPt
1.0
0.000 3.295 3.295
3.295 0.000 3.295
3.295 3.295 0.000
Pt Pu Th
1 1 1
direct
0.000 0.000 0.000
0.500 0.500 0.500
0.750 0.750 0.750
```

Output
VASP energy (eV per atom): -9.351
Total magnetic moment (μB/atom): 1.8341
Theoretical density (g/cm³): 15.6
V (A^3/atom): 23.858

---

[4]
VASP calculation (PBE) on an optimized crystal structure of PuTlPt.

The structure in POSCAR format:
```
PuTlPt
1.0
0.000 3.396 3.396
3.396 0.000 3.396
3.396 3.396 0.000
Pt Pu Tl
1 1 1
direct
0.000 0.000 0.000
0.250 0.250 0.250
0.750 0.750 0.750
```

Output
VASP energy (eV per atom): -7.976
Total magnetic moment (μB/atom): 1.8909
Theoretical density (g/cm³): 13.6
V (A^3/atom): 26.118